! HoInSn2 | Alexandria via LeMat-Bulk | PBE | optimized geometry; values from VASP
! **ΔE to the lowest computed polymorph**: 0 meV per atom
! **ΔH_f (0 K)**: -409 meV per atom
! **Total energy**: -4.24 eV per atom
&SYSTEM
  ibrav = 0, nat = 4, ntyp = 3
/
ATOMIC_SPECIES
Ho 164.93 Ho.upf
In 114.82 In.upf
Sn 118.71 Sn.upf
CELL_PARAMETERS angstrom
4.727 0.000 0.000
0.000 4.727 0.000
0.000 0.000 4.581
ATOMIC_POSITIONS angstrom
Ho 0.000 0.000 0.000
In 2.363 2.363 0.000
Sn 0.000 2.363 2.291
Sn 2.363 0.000 2.291


! HoIn6Sn | Alexandria via LeMat-Bulk | PBE | optimized geometry; values from VASP
! **ΔH_f (0 K)**: -129 meV per atom
! **Total energy**: -3.26 eV per atom
&SYSTEM
  ibrav = 0, nat = 8, ntyp = 3
/
ATOMIC_SPECIES
Ho 164.93 Ho.upf
In 114.82 In.upf
Sn 118.71 Sn.upf
CELL_PARAMETERS angstrom
6.807 0.000 0.000
0.000 6.807 0.000
0.000 0.000 4.499
ATOMIC_POSITIONS angstrom
Ho 0.000 0.000 0.000
In 0.000 3.404 0.000
In 1.707 1.707 2.249
In 1.707 5.100 2.249
In 3.404 0.000 0.000
In 5.100 1.707 2.249
In 5.100 5.100 2.249
Sn 3.404 3.404 0.000


! HoInSn2 | Alexandria via LeMat-Bulk | PBE | optimized geometry; values from VASP
! **ΔE to the lowest computed polymorph**: 86 meV per atom
! **ΔH_f (0 K)**: -323 meV per atom
! **Total energy**: -4.15 eV per atom
&SYSTEM
  ibrav = 0, nat = 4, ntyp = 3
/
ATOMIC_SPECIES
Ho 164.93 Ho.upf
In 114.82 In.upf
Sn 118.71 Sn.upf
CELL_PARAMETERS angstrom
4.114 0.000 0.000
0.000 4.114 0.000
0.000 0.000 6.313
ATOMIC_POSITIONS angstrom
Ho 0.000 0.000 0.000
In 0.000 0.000 3.157
Sn 2.057 2.057 1.530
Sn 2.057 2.057 4.783


! HoInSn4 | Alexandria via LeMat-Bulk | PBE | optimized geometry; values from VASP
! **ΔH_f (0 K)**: -104 meV per atom
! **Total energy**: -3.99 eV per atom
&SYSTEM
  ibrav = 0, nat = 6, ntyp = 3
/
ATOMIC_SPECIES
Ho 164.93 Ho.upf
In 114.82 In.upf
Sn 118.71 Sn.upf
CELL_PARAMETERS angstrom
0.000 4.372 4.372
4.372 0.000 4.372
4.372 4.372 0.000
ATOMIC_POSITIONS angstrom
Ho 0.000 0.000 0.000
In 2.186 2.186 2.186
Sn 5.467 3.277 3.277
Sn 3.277 5.467 3.277
Sn 3.277 3.277 5.467
Sn 5.467 5.467 5.467